[1]
First-principles (PBE) data for a relaxed RuSe2 crystal, as listed in Alexandria.

Cell lengths 6.5838, 4.3229, 7.8891 Å; angles 90.00, 90.00, 90.00 degrees
Last column: nearest neighbours and their distance in Å.
Space group Pnma (No. 62)
Inequivalent atoms, fractional coordinates:
1 Ru 0.2379 0.2500 0.0558 x4  5 Se 2.44-2.64
2 Se 0.0580 0.7500 0.1295 x4  3 Ru 2.44-2.53
3 Se 0.1211 0.2500 0.3758 x4  4 Ru 2.58-2.75


[2]
First-principles (PBE) data for a relaxed RuSe2 crystal, as listed in Alexandria.

Cell lengths 4.5954, 4.5954, 5.6081 Å; angles 90.00, 90.00, 120.00 degrees
Last column: nearest neighbours and their distance in Å.
Space group P6_3/mmc (No. 194)
Inequivalent atoms, fractional coordinates:
1 Ru 0.3333 0.6667 0.2500 x2  5 Se 2.65-2.80
2 Se 0.0000 0.0000 0.0000 x2  8 Se 2.80-3.00, 6 Ru 3.00
3 Se 0.3333 0.6667 0.7500 x2  5 Ru 2.65-2.80


[3]
First-principles (PBE) data for a relaxed Ru5Se crystal, as listed in Alexandria.

Cell lengths 2.8050, 2.8050, 10.9680 Å; angles 90.00, 90.00, 90.00 degrees
Last column: nearest neighbours and their distance in Å.
Space group P4/mmm (No. 123)
Inequivalent atoms, fractional coordinates:
1 Ru 0.0000 0.0000 0.0000 x1  12 Ru 2.73-2.81
2 Ru 0.0000 0.0000 0.3331 x2  8 Ru 2.67-2.81, 4 Se 2.70
3 Ru 0.5000 0.5000 0.1706 x2  12 Ru 2.67-2.81
4 Se 0.5000 0.5000 0.5000 x1  8 Ru 2.70, 4 Se 2.81

Relative energy among the computed polymorphs ... 0.042 eV per atom


[4]
First-principles (PBE) data for a relaxed RuSe3 crystal, as listed in Alexandria.

Cell lengths 3.4829, 3.4829, 22.6470 Å; angles 90.00, 90.00, 120.00 degrees
Last column: nearest neighbours and their distance in Å.
Space group R-3m (No. 166, hexagonal axes)
Inequivalent atoms, fractional coordinates:
1 Ru 0.0000 0.0000 0.0000 x3  6 Se 2.51
2 Se 0.0000 0.0000 0.2667 x6  3 Ru 2.51
3 Se 0.0000 0.0000 0.5000 x3  6 Se 3.03

Relative energy among the computed polymorphs ... 0.198 eV per atom


[5]
First-principles (PBE) data for a relaxed RuSe3 crystal, as listed in Alexandria.

Cell lengths 4.9523, 8.6848, 3.6802 Å; angles 90.00, 90.00, 90.00 degrees
Last column: nearest neighbours and their distance in Å.
Space group Cmmm (No. 65)
Inequivalent atoms, fractional coordinates:
1 Ru 0.0000 0.0000 0.0000 x2  6 Se 2.48-2.50
2 Se 0.0000 0.1950 0.5000 x4  2 Ru 2.50, 2 Se 2.65
3 Se 0.0000 0.5000 0.0000 x2  2 Ru 2.48

Relative energy among the computed polymorphs ... 0.000 eV per atom


[6]
First-principles (PBE) data for a relaxed RuSe5 crystal, as listed in Alexandria.

Cell lengths 4.9881, 4.9881, 7.9962 Å; angles 90.00, 90.00, 120.00 degrees
Last column: nearest neighbours and their distance in Å.
Space group P6/mmm (No. 191)
Inequivalent atoms, fractional coordinates:
1 Ru 0.0000 0.0000 0.0000 x1  6 Se 2.88
2 Se 0.0000 0.5000 0.5000 x3  4 Se 2.49
3 Se 0.3333 0.6667 0.0000 x2  3 Ru 2.88, 3 Se 2.88

Relative energy among the computed polymorphs ... 0.826 eV per atom


Q: Which E_form (uncorrected) values were calculated for the entries above? A: 0.2; 12.2; 6.2; 3.0; -1.6; 19.1, in kcal/mol of atoms.